The following is a DFT calculation (PBE) of an optimized crystal structure of K4LaU3S8.

Cell: 8.808 8.808 8.808 Å, 55.66 55.66 55.66°
Element x y z (fractional)
K 0.000 0.000 0.000
K 0.000 0.500 0.500
K 0.500 0.000 0.500
K 0.500 0.500 0.000
La 0.500 0.500 0.500
U 0.000 0.000 0.500
U 0.000 0.500 0.000
U 0.500 0.000 0.000
S 0.225 0.741 0.741
S 0.234 0.234 0.234
S 0.259 0.259 0.775
S 0.259 0.775 0.259
S 0.741 0.225 0.741
S 0.741 0.741 0.225
S 0.766 0.766 0.766
S 0.775 0.259 0.259

Computed properties:
ΔE_f (raw) = -1.502 eV per atom
SG = R-3m (166)